Entry from Alexandria: a PBEsol-optimized structure of MgMn2Cd (meta-GGA SCAN).

The structure in POSCAR format:
```
MgMn2Cd
1.0
9.442 0.000 0.000
0.000 2.912 0.000
-0.907 0.000 4.861
Mg Mn Cd
2 4 2
Cartesian
0.000 0.000 0.000
4.721 1.456 0.000
1.661 0.000 3.675
2.154 1.456 1.185
6.382 1.456 3.675
6.875 0.000 1.185
-0.453 1.456 2.430
4.268 0.000 2.430
```

Calculated values
**D(E_F)**: 4.351 states/eV/cell
**Total energy**: -143.6 eV per cell
**Crystal system**: monoclinic

Entry from Alexandria: a PBEsol-optimized structure of MgCdMo2 (meta-GGA SCAN).

The structure in POSCAR format:
```
MgCdMo2
1.0
3.547 0.000 0.000
0.000 3.547 0.000
0.000 0.000 5.478
Mg Cd Mo
1 1 2
Cartesian
0.000 0.000 0.000
0.000 0.000 2.739
1.773 1.773 1.150
1.773 1.773 4.328
```

Calculated values
**D(E_F)**: 2.629 states/eV/cell
**Relative energy among the computed polymorphs**: 212.4 meV per atom
**Total energy**: -102.8 eV per cell
**Crystal system**: tetragonal

Entry from Alexandria: a PBEsol-optimized structure of MgCdMo2 (meta-GGA SCAN).

The structure in POSCAR format:
```
MgCdMo2
1.0
6.439 0.000 0.000
0.000 6.439 0.000
0.000 0.000 6.439
Mg Cd Mo
4 4 8
Cartesian
0.000 0.000 0.000
0.000 3.219 3.219
3.219 0.000 3.219
3.219 3.219 0.000
1.610 1.610 4.829
1.610 4.829 1.610
4.829 1.610 1.610
4.829 4.829 4.829
0.000 0.000 3.219
0.000 3.219 0.000
1.610 1.610 1.610
1.610 4.829 4.829
3.219 0.000 0.000
3.219 3.219 3.219
4.829 1.610 4.829
4.829 4.829 1.610
```

Calculated values
**D(E_F)**: 8.345 states/eV/cell
**Relative energy among the computed polymorphs**: 0.0 meV per atom
**Total energy**: -414.8 eV per cell
**Crystal system**: cubic

Entry from Alexandria: a PBEsol-optimized structure of Mg2CdN (meta-GGA SCAN).

The structure in POSCAR format:
```
Mg2CdN
1.0
6.367 0.000 0.000
0.000 6.367 0.000
0.000 0.000 6.367
Mg Cd N
8 4 4
Cartesian
1.592 1.592 1.592
1.592 1.592 4.775
1.592 4.775 1.592
1.592 4.775 4.775
4.775 1.592 1.592
4.775 1.592 4.775
4.775 4.775 1.592
4.775 4.775 4.775
0.000 0.000 0.000
0.000 3.183 3.183
3.183 0.000 3.183
3.183 3.183 0.000
0.000 0.000 3.183
0.000 3.183 0.000
3.183 0.000 0.000
3.183 3.183 3.183
```

Calculated values
**D(E_F)**: 4.731 states/eV/cell
**Energy relative to the elements, uncorrected**: 519 meV/atom
**Relative energy among the computed polymorphs**: 794.1 meV per atom
**Total energy**: -190.3 eV per cell
**Crystal system**: cubic